[1]
Compound: NaCrB
Source: Alexandria
Functional: PBE-GGA
Structure: relaxed

Unit cell a=2.8902 b=2.9295 c=10.3513 alpha=90.00 beta=90.31 gamma=90.00
Last column: nearest neighbours and their distance in Å.
Space group P2_1/m (No. 11)
One atom of each set of equivalent atoms:
Na: 0.2456 0.2500 0.1511 [2 per cell]  2 B 2.79-2.80, 4 Na 2.89-2.93, 2 Cr 3.08
Cr: 0.2482 0.7500 0.4131 [2 per cell]  5 B 2.08-2.12
B: 0.2523 0.7500 0.6175 [2 per cell]  5 Cr 2.08-2.12

---

[2]
Compound: Na2Cr2B
Source: Alexandria
Functional: PBE-GGA
Structure: relaxed

Unit cell a=3.1007 b=3.1007 c=18.8338 alpha=90.00 beta=90.00 gamma=90.00
Last column: nearest neighbours and their distance in Å.
Space group I4/mmm (No. 139)
One atom of each set of equivalent atoms:
Na: 0.0000 0.0000 0.0938 [4 per cell]  4 B 2.82, 4 Na 3.10
Cr: 0.0000 0.5000 0.2500 [4 per cell]  4 Cr 2.19
B: 0.0000 0.0000 0.5000 [2 per cell]  8 Na 2.82, 4 B 3.10

---

[3]
Compound: NaCrB
Source: Alexandria
Functional: PBE-GGA
Structure: relaxed

Unit cell a=2.9247 b=3.0425 c=10.3394 alpha=98.29 beta=90.26 gamma=90.00
Last column: nearest neighbours and their distance in Å.
Space group P-1 (No. 2)
One atom of each set of equivalent atoms:
Na: 0.2444 0.3316 0.1567 [2 per cell]  4 Na 2.92-3.04, 1 B 3.01, 4 Cr 3.21
Cr: 0.2518 0.0523 0.6068 [2 per cell]  6 B 2.19-2.20
B: 0.2492 0.4760 0.4510 [2 per cell]  2 B 1.77

---

[4]
Compound: NaCrB
Source: Alexandria
Functional: PBE-GGA
Structure: relaxed

Unit cell a=4.1134 b=4.1128 c=10.5405 alpha=90.00 beta=101.19 gamma=90.00
Last column: nearest neighbours and their distance in Å.
Space group C2 (No. 5)
One atom of each set of equivalent atoms:
Na: 0.1761 0.0000 0.3504 [4 per cell]  2 B 2.80-2.81, 4 Na 2.91, 2 Cr 3.09-3.10
Cr: 0.2072 0.7546 0.9135 [4 per cell]  5 B 2.08-2.12
B: 0.1911 0.2545 0.8816 [4 per cell]  5 Cr 2.08-2.12

---

[5]
Compound: Na2Cr2B
Source: Alexandria
Functional: PBE-GGA
Structure: relaxed

Unit cell a=8.6203 b=8.6203 c=2.6073 alpha=90.00 beta=90.00 gamma=90.00
Last column: nearest neighbours and their distance in Å.
Space group P4/mbm (No. 127)
One atom of each set of equivalent atoms:
Na: 0.2123 0.2877 0.0000 [4 per cell]  2 Na 2.61, 2 Cr 2.91
Cr: 0.0744 0.5744 0.5000 [4 per cell]  1 Cr 1.81
B: 0.0000 0.0000 0.0000 [2 per cell]  2 B 2.61

---

[6]
Compound: NaCrB
Source: Alexandria
Functional: PBE-GGA
Structure: relaxed

Unit cell a=2.9815 b=3.8772 c=10.0767 alpha=80.61 beta=82.51 gamma=67.42
Last column: nearest neighbours and their distance in Å.
Space group P1 (No. 1)
One atom of each set of equivalent atoms:
Na: 0.0000 0.0000 0.0000 [1 per cell]  2 Na 2.98, 3 Cr 3.20-3.30
Na: 0.4028 0.5893 0.6892 [1 per cell]  3 B 2.66-2.91
Cr: 0.2139 0.3513 0.2516 [1 per cell]  3 B 2.23-2.41
Cr: 0.8675 0.8964 0.4189 [1 per cell]  6 B 2.08-2.18
B: 0.1464 0.2878 0.4762 [1 per cell]  2 B 1.67
B: 0.5738 0.4727 0.4313 [1 per cell]  2 B 1.67

---

| no. | E (eV/atom) | formation enthalpy at 0 K (eV per atom) |
| --- | --- | --- |
| 1 | -5.7677 | 0.11 |
| 2 | -4.4467 | 1.27 |
| 3 | -5.7846 | 0.09 |
| 4 | -5.7689 | 0.10 |
| 5 | -4.0414 | 1.67 |
| 6 | -5.6209 | 0.25 |